Record 1
{"formula": "Mg2CuRuAu", "functional": "PBE-GGA", "state": "relaxed", "lattice": [[4.9009, 0.0000, 0.0000], [0.0000, 4.9009, 0.0000], [0.0000, 0.0000, 4.5635]], "species": ["Mg", "Mg", "Cu", "Ru", "Au"], "frac_coords": [[0.0000, 0.5000, 0.0000], [0.5000, 0.0000, 0.0000], [0.0000, 0.0000, 0.5000], [0.0000, 0.0000, 0.0000], [0.5000, 0.5000, 0.5000]], "volume_a3_per_cell": 110, "delta_e_f_kj_per_mol_fu": 333, "sg": "P4/mmm, No. 123"}

Record 2
{"formula": "MgSc4Cu2Au", "functional": "PBE-GGA", "state": "relaxed", "lattice": [[2.3791, 1.3736, 7.8914], [-2.3791, 1.3736, 7.8914], [0.0000, -2.7472, 7.8914]], "species": ["Mg", "Sc", "Sc", "Sc", "Sc", "Cu", "Cu", "Au"], "frac_coords": [[0.0000, 0.0000, 0.0000], [0.1278, 0.1278, 0.1278], [0.3801, 0.3801, 0.3801], [0.6199, 0.6199, 0.6199], [0.8722, 0.8722, 0.8722], [0.2622, 0.2622, 0.2622], [0.7378, 0.7378, 0.7378], [0.5000, 0.5000, 0.5000]], "volume_a3_per_cell": 155, "delta_e_f_kj_per_mol_fu": -251, "sg": "R-3m, No. 166"}

Record 3
{"formula": "SmMgCuAu", "functional": "PBE-GGA", "state": "relaxed", "lattice": [[0.0000, 3.4566, 3.4566], [3.4566, 0.0000, 3.4566], [3.4566, 3.4566, 0.0000]], "species": ["Sm", "Mg", "Cu", "Au"], "frac_coords": [[0.0000, 0.0000, 0.0000], [0.5000, 0.5000, 0.5000], [0.2500, 0.2500, 0.2500], [0.7500, 0.7500, 0.7500]], "volume_a3_per_cell": 83, "delta_e_f_kj_per_mol_fu": -178, "sg": "F-43m, No. 216"}

Record 4
{"formula": "Sr2MgCuAu6", "functional": "PBE-GGA", "state": "relaxed", "lattice": [[6.5950, -2.7805, 0.0000], [6.5950, 2.7805, 0.0000], [-6.2974, 0.0000, 6.5893]], "species": ["Sr", "Sr", "Mg", "Cu", "Au", "Au", "Au", "Au", "Au", "Au"], "frac_coords": [[0.2407, 0.2407, 0.2866], [0.7593, 0.7593, 0.7134], [0.0000, 0.0000, 0.5000], [0.5000, 0.5000, 0.0000], [0.2480, 0.7449, 0.2435], [0.2527, 0.2527, 0.8888], [0.2551, 0.7520, 0.7565], [0.7449, 0.2480, 0.2435], [0.7473, 0.7473, 0.1112], [0.7520, 0.2551, 0.7565]], "volume_a3_per_cell": 242, "delta_e_f_kj_per_mol_fu": -456, "sg": "C2/m, No. 12"}

Record 5
{"formula": "SrMgCuAu", "functional": "PBE-GGA", "state": "relaxed", "lattice": [[0.0000, 3.5787, 3.5787], [3.5787, 0.0000, 3.5787], [3.5787, 3.5787, 0.0000]], "species": ["Sr", "Mg", "Cu", "Au"], "frac_coords": [[0.0000, 0.0000, 0.0000], [0.5000, 0.5000, 0.5000], [0.7500, 0.7500, 0.7500], [0.2500, 0.2500, 0.2500]], "volume_a3_per_cell": 92, "delta_e_f_kj_per_mol_fu": -103, "sg": "F-43m, No. 216"}

Record 6
{"formula": "TbMg2CuAu4", "functional": "PBE-GGA", "state": "relaxed", "lattice": [[2.3122, 1.3350, 8.2585], [-2.3122, 1.3350, 8.2585], [0.0000, -2.6699, 8.2585]], "species": ["Tb", "Mg", "Mg", "Cu", "Au", "Au", "Au", "Au"], "frac_coords": [[0.0000, 0.0000, 0.0000], [0.2398, 0.2398, 0.2398], [0.7602, 0.7602, 0.7602], [0.5000, 0.5000, 0.5000], [0.1264, 0.1264, 0.1264], [0.3926, 0.3926, 0.3926], [0.6074, 0.6074, 0.6074], [0.8736, 0.8736, 0.8736]], "volume_a3_per_cell": 153, "delta_e_f_kj_per_mol_fu": -412, "sg": "R-3m, No. 166"}

Record 7
{"formula": "TbMgCuAu", "functional": "PBE-GGA", "state": "relaxed", "lattice": [[0.0000, 3.4168, 3.4168], [3.4168, 0.0000, 3.4168], [3.4168, 3.4168, 0.0000]], "species": ["Tb", "Mg", "Cu", "Au"], "frac_coords": [[0.0000, 0.0000, 0.0000], [0.5000, 0.5000, 0.5000], [0.7500, 0.7500, 0.7500], [0.2500, 0.2500, 0.2500]], "volume_a3_per_cell": 80, "delta_e_f_kj_per_mol_fu": -187, "sg": "F-43m, No. 216"}

Record 8
{"formula": "TmMgCuAu", "functional": "PBE-GGA", "state": "relaxed", "lattice": [[0.0000, 3.3768, 3.3768], [3.3768, 0.0000, 3.3768], [3.3768, 3.3768, 0.0000]], "species": ["Tm", "Mg", "Cu", "Au"], "frac_coords": [[0.0000, 0.0000, 0.0000], [0.5000, 0.5000, 0.5000], [0.7500, 0.7500, 0.7500], [0.2500, 0.2500, 0.2500]], "volume_a3_per_cell": 77, "delta_e_f_kj_per_mol_fu": -192, "sg": "F-43m, No. 216"}